An optimized crystal structure of Cu4Ag5, computed with PBE. Values from VASP.

Cell and atoms, written as Quantum ESPRESSO input:
```
&SYSTEM
  ibrav = 0, nat = 9, ntyp = 2
/
ATOMIC_SPECIES
Cu 63.55 Cu.upf
Ag 107.87 Ag.upf
CELL_PARAMETERS angstrom
7.108 -1.428 0.000
7.108 1.428 0.000
-0.463 0.000 6.822
ATOMIC_POSITIONS angstrom
Cu 0.000 0.000 0.000
Cu 7.679 0.000 2.083
Cu 8.775 0.000 6.744
Cu 10.679 0.000 4.379
Ag 1.268 0.000 4.478
Ag 2.861 0.000 2.138
Ag 4.059 0.000 6.630
Ag 5.924 0.000 4.564
Ag 12.502 0.000 2.148
```

Summary:
excess energy over the best structure of this formula in the dataset	52	meV per atom
formation energy from the elements	0.09	eV/atom